Below is an optimized crystal structure of CaLaScAl, with properties calculated at the PBE level.

Lattice parameters (Å, degrees): 7.5946 7.5946 7.5946 90.00 90.00 90.00
Space group F-43m (No. 216)
Symmetry-distinct sites (fractional):
Ca: 0.0000 0.0000 0.0000
La: 0.2500 0.2500 0.7500
Sc: 0.2500 0.2500 0.2500
Al: 0.0000 0.0000 0.5000

Electronic total energy in eV/cell: -68.7
Energy of formation in eV/f.u.: -0.17
Mass density in Mg/m³: 3.8


Below is an optimized crystal structure of BeHg3Ir, with properties calculated at the PBE level.

Lattice parameters (Å, degrees): 5.2734 5.2734 5.2734 90.00 90.00 90.00
Space group Pm-3m (No. 221)
Symmetry-distinct sites (fractional):
Be: 0.0000 0.0000 0.0000
Hg: 0.0000 0.5000 0.5000
Ir: 0.5000 0.5000 0.5000

Electronic total energy in eV/cell: -8.9
Energy of formation in eV/f.u.: 4.63
Mass density in Mg/m³: 9.1


Below is an optimized crystal structure of CaUN2, with properties calculated at the PBE level.

Lattice parameters (Å, degrees): 3.4978 3.4978 11.5079 90.00 90.00 120.00
Space group P6_3/mmc (No. 194)
Symmetry-distinct sites (fractional):
Ca: 0.3333 0.6667 0.2500
U: 0.0000 0.0000 0.0000
N: 0.3333 0.6667 0.6041

Energy relative to the elements, uncorrected in eV/atom: -1.26
Electronic total energy in eV/cell: -69.9
Mass density in Mg/m³: 8.3